Computed, not measured: a relaxed structure of Y5Tl2Hg at the PBE-GGA level of DFT.

Results
* ΔH_f (0 K): -0.35 eV/atom
* energy: -5.015 eV/atom
* size of the total moment: 0.00 μB per formula unit
* space-group type: Pbam, No. 55

Cell: 6.824 13.148 5.089 Å, 90.00 90.00 90.00°
Positions (direct):
Y  0.000  0.000  0.000
Y  0.130  0.276  0.000
Y  0.168  0.604  0.500
Y  0.332  0.104  0.500
Y  0.370  0.776  0.000
Y  0.500  0.500  0.000
Y  0.630  0.224  0.000
Y  0.668  0.896  0.500
Y  0.832  0.396  0.500
Y  0.870  0.724  0.000
Tl  0.127  0.851  0.500
Tl  0.373  0.351  0.500
Tl  0.627  0.649  0.500
Tl  0.873  0.149  0.500
Hg  0.000  0.500  0.000
Hg  0.500  0.000  0.000